An optimized crystal structure of TcHgRh2, computed with PBE-GGA.

abc: 5.666 5.666 5.666
angles: 151.20 131.60 57.30
Fractional positions:
Hg 0.743 0.243 0.500
Rh 0.262 0.762 0.500
Rh 0.023 0.023 0.000
Tc 0.473 0.473 0.000

Results
Energy in eV per atom: -6.013
SG: No. 44
Size of the total moment in Bohr magnetons per cell: 0.0